VASP calculation (PBE-GGA) on a relaxed Zn2GaRh4 crystal.

Values from the calculation:
Energy of formation ... -176 meV per atom
Space-group type ... I4/mmm
Energy ... -36.213 eV per formula unit

a = 5.150 Å, b = 5.150 Å, c = 5.150 Å
α = 109.56°, β = 109.43°, γ = 109.43°
Fractional positions:
Zn 0.500 0.500 0.000
Zn 0.500 0.000 0.500
Ga 0.000 0.000 0.000
Rh 0.500 0.000 0.000
Rh 0.500 0.500 0.500
Rh 0.000 0.000 0.500
Rh 0.000 0.500 0.000